1.
Ca2Pm5Tl4: optimized geometry, PBE-GGA.

Computed properties:
**Final energy**: -3.53 eV per atom
**Total magnetization**: 0.0 μB/f.u.
**Calculated volume**: 363.2 Å³/f.u.
**Space-group type**: C2/m, No. 12

CIF file:
```
data_Ca2Pm5Tl4
_cell_length_a 11.400
_cell_length_b 11.400
_cell_length_c 8.776
_cell_angle_alpha 100.64
_cell_angle_beta 100.64
_cell_angle_gamma 18.92
_symmetry_space_group_name_H-M 'P 1'
_symmetry_Int_Tables_number 1
_symmetry_space_group_name_Hall 'P 1'
loop_
_atom_site_label
_atom_site_fract_x
_atom_site_fract_y
_atom_site_fract_z
Ca1 0.070 0.070 0.143
Ca2 0.930 0.930 0.857
Pm1 0.000 0.000 0.500
Pm2 0.317 0.317 0.046
Pm3 0.349 0.349 0.492
Pm4 0.651 0.651 0.508
Pm5 0.683 0.683 0.954
Tl1 0.214 0.214 0.274
Tl2 0.453 0.453 0.204
Tl3 0.547 0.547 0.796
Tl4 0.786 0.786 0.726
```



2.
BaGeTeN2: optimized geometry, PBE-GGA.

Computed properties:
**Final energy**: -4.56 eV per atom
**Total magnetization**: 2.3 μB/f.u.
**Calculated volume**: 110.5 Å³/f.u.
**Space-group type**: P4/mmm, No. 123
**Formation energy without anion corrections**: 0.703 eV per atom

CIF file:
```
data_BaGeTeN2
_cell_length_a 4.500
_cell_length_b 4.500
_cell_length_c 5.457
_cell_angle_alpha 90.00
_cell_angle_beta 90.00
_cell_angle_gamma 90.00
_symmetry_space_group_name_H-M 'P 1'
_symmetry_Int_Tables_number 1
_symmetry_space_group_name_Hall 'P 1'
loop_
_atom_site_label
_atom_site_fract_x
_atom_site_fract_y
_atom_site_fract_z
Ba1 0.000 0.000 0.000
Ge1 0.500 0.500 0.500
Te1 0.500 0.500 0.000
N1 0.000 0.500 0.500
N2 0.500 0.000 0.500
```



Which of these has the lowest calculated volume?
BaGeTeN2



Which of these has the lowest total magnetization?
Ca2Pm5Tl4



What did the second record say?
BaGeTeN2: optimized geometry, PBE-GGA.

Computed properties:
**Final energy**: -4.56 eV per atom
**Total magnetization**: 2.3 μB/f.u.
**Calculated volume**: 110.5 Å³/f.u.
**Space-group type**: P4/mmm, No. 123
**Formation energy without anion corrections**: 0.703 eV per atom

CIF file:
```
data_BaGeTeN2
_cell_length_a 4.500
_cell_length_b 4.500
_cell_length_c 5.457
_cell_angle_alpha 90.00
_cell_angle_beta 90.00
_cell_angle_gamma 90.00
_symmetry_space_group_name_H-M 'P 1'
_symmetry_Int_Tables_number 1
_symmetry_space_group_name_Hall 'P 1'
loop_
_atom_site_label
_atom_site_fract_x
_atom_site_fract_y
_atom_site_fract_z
Ba1 0.000 0.000 0.000
Ge1 0.500 0.500 0.500
Te1 0.500 0.500 0.000
N1 0.000 0.500 0.500
N2 0.500 0.000 0.500
```